i:
Here is a geometry-optimized AcPO structure from Alexandria. Energies are from GGA-PBE.

The structure belongs to space group Fmmm (No. 69); the cell edges are 5.818, 6.233 and 15.018 Å and the angles 90.00°, 90.00° and 90.00°. The distinct sites, in fractional coordinates, are Ac at (0.000, 0.000, 0.165), P at (0.000, 0.169, 0.500) and O at (0.250, 0.250, 0.250).

---

ii:
Here is a geometry-optimized AcPO structure from Alexandria. Energies are from GGA-PBE.

The structure belongs to space group Cmcm (No. 63); the cell edges are 4.263, 14.352 and 4.138 Å and the angles 90.00°, 90.00° and 90.00°. The distinct sites, in fractional coordinates, are Ac at (0.000, 0.160, 0.250), P at (0.000, 0.466, 0.250) and O at (0.000, 0.253, 0.750).

---

Stability, lowest: i

---

i:
Here is a geometry-optimized Ac2PO5 structure from Alexandria. Energies are from GGA-PBE.

The structure belongs to space group P2_1/c (No. 14); the cell edges are 10.200, 7.290 and 7.192 Å and the angles 90.00°, 105.72° and 90.00°. The distinct sites, in fractional coordinates, are Ac at (0.008, 0.149, 0.261), Ac at (0.354, 0.605, 0.108), P at (0.325, 0.095, 0.073), O at (0.118, 0.622, 0.987), O at (0.218, 0.243, 0.084), O at (0.270, 0.544, 0.404), O at (0.366, 0.527, 0.761) and O at (0.455, 0.198, 0.055).

---

ii:
Here is a geometry-optimized Ac2PO5 structure from Alexandria. Energies are from GGA-PBE.

The structure belongs to space group I4mm (No. 107); the cell edges are 5.544, 5.544 and 7.560 Å and the angles 90.00°, 90.00° and 90.00°. The distinct sites, in fractional coordinates, are Ac at (0.000, 0.500, 0.000), P at (0.000, 0.000, 0.266), O at (0.000, 0.000, 0.481) and O at (0.217, 0.217, 0.240).

---

Stability, lowest: ii

---

i:
Here is a geometry-optimized Ac2PO structure from Alexandria. Energies are from GGA-PBE.

The structure belongs to space group Fm-3m (No. 225); the cell edges are 7.135, 7.135 and 7.135 Å and the angles 90.00°, 90.00° and 90.00°. The distinct sites, in fractional coordinates, are Ac at (0.250, 0.250, 0.250), P at (0.000, 0.000, 0.000) and O at (0.000, 0.000, 0.500).

---

ii:
Here is a geometry-optimized Ac2PO structure from Alexandria. Energies are from GGA-PBE.

The structure belongs to space group P2/c (No. 13); the cell edges are 6.066, 6.058 and 12.826 Å and the angles 90.00°, 116.88° and 90.00°. The distinct sites, in fractional coordinates, are Ac at (0.110, 0.229, 0.112), Ac at (0.335, 0.239, 0.862), P at (0.375, 0.259, 0.375) and O at (0.069, 0.193, 0.624).

---

Stability, lowest: i

---

i:
Here is a geometry-optimized AcPaO2 structure from Alexandria. Energies are from GGA-PBE.

The structure belongs to space group R-3m (No. 166, hexagonal axes); the cell edges are 3.8181, 3.8181 and 19.9975 Å and the angles 90.00°, 90.00° and 120.00°. The distinct sites, in fractional coordinates, are Ac at (0.0000, 0.0000, 0.0000), Pa at (0.0000, 0.0000, 0.5000) and O at (0.0000, 0.0000, 0.1303).

---

ii:
Here is a geometry-optimized AcPaO2 structure from Alexandria. Energies are from GGA-PBE.

The structure belongs to space group P4/mmm (No. 123); the cell edges are 3.181, 3.181 and 6.681 Å and the angles 90.00°, 90.00° and 90.00°. The distinct sites, in fractional coordinates, are Ac at (0.000, 0.000, 0.000), Pa at (0.000, 0.000, 0.500) and O at (0.500, 0.500, 0.298).

---

Stability, lowest: ii

---

i:
Here is a geometry-optimized Ac2Pa2O7 structure from Alexandria. Energies are from GGA-PBE.

The structure belongs to space group Fd-3m (No. 227, origin choice 2); the cell edges are 11.372, 11.372 and 11.372 Å and the angles 90.00°, 90.00° and 90.00°. The distinct sites, in fractional coordinates, are Ac at (0.000, 0.000, 0.000), Pa at (0.000, 0.000, 0.500), O at (0.094, 0.375, 0.875) and O at (0.125, 0.125, 0.125).

---

ii:
Here is a geometry-optimized Ac2Pa2O7 structure from Alexandria. Energies are from GGA-PBE.

The structure belongs to space group Cmmm (No. 65); the cell edges are 7.684, 8.255 and 5.762 Å and the angles 90.00°, 90.00° and 90.00°. The distinct sites, in fractional coordinates, are Ac at (0.249, 0.000, 0.000), Pa at (0.000, 0.232, 0.500), O at (0.000, 0.000, 0.269), O at (0.000, 0.500, 0.500) and O at (0.250, 0.250, 0.270).

---

Stability, lowest: ii

---

i:
Here is a geometry-optimized AcPbO4 structure from Alexandria. Energies are from GGA-PBE.

The structure belongs to space group I4_1/amd (No. 141, origin choice 2); the cell edges are 5.724, 5.724 and 11.296 Å and the angles 90.00°, 90.00° and 90.00°. The distinct sites, in fractional coordinates, are Ac at (0.000, 0.250, 0.375), Pb at (0.000, 0.250, 0.875) and O at (0.223, 0.000, 0.000).

---

ii:
Here is a geometry-optimized AcPbO4 structure from Alexandria. Energies are from GGA-PBE.

The structure belongs to space group P2/m (No. 10); the cell edges are 4.365, 4.182 and 5.419 Å and the angles 90.00°, 95.78° and 90.00°. The distinct sites, in fractional coordinates, are Ac at (0.000, 0.000, 0.000), Pb at (0.500, 0.500, 0.500), O at (0.112, 0.500, 0.253) and O at (0.432, 0.000, 0.716).

---

Stability, lowest: i